RbNaNd2Se4 | PBE | relaxed

Unit cell a=8.748 b=8.961 c=12.560 alpha=90.00 beta=90.00 gamma=90.00
Space group Imma (No. 74)
Inequivalent atoms, fractional coordinates:
Rb  0.250  0.250  0.250
Na  0.000  0.000  0.000
Nd  0.000  0.000  0.500
Nd  0.250  0.250  0.750
Se  0.000  0.027  0.740
Se  0.234  0.250  0.513

**DFT total energy**: -4.888 eV per atom
**Raw formation energy**: -1.668 eV per atom

***

Mg3NpBr2O6 | PBE | relaxed

Unit cell a=11.293 b=6.218 c=5.444 alpha=90.00 beta=100.51 gamma=90.00
Space group C2/m (No. 12)
Inequivalent atoms, fractional coordinates:
Mg  0.000  0.000  0.000
Mg  0.250  0.250  0.500
Np  0.000  0.500  0.500
Br  0.204  0.000  0.853
O  0.057  0.261  0.293
O  0.181  0.500  0.653

**DFT total energy**: -6.229 eV per atom
**Raw formation energy**: -1.994 eV per atom

***

Sr2LaRuPb | PBE | relaxed

Unit cell a=6.499 b=6.499 c=4.675 alpha=90.00 beta=90.00 gamma=90.00
Space group P4/mmm (No. 123)
Inequivalent atoms, fractional coordinates:
Sr  0.000  0.500  0.000
La  0.000  0.000  0.000
Ru  0.000  0.000  0.500
Pb  0.500  0.500  0.500

**DFT total energy**: -3.672 eV per atom
**ΔE_f**: 0.58 eV/atom

***

Pm3Al2CuO9 | PBE | relaxed

Unit cell a=5.3563 b=5.3563 c=6.5632 alpha=90.00 beta=90.00 gamma=120.00
Space group P-3m1 (No. 164)
Inequivalent atoms, fractional coordinates:
Pm  0.0000  0.0000  0.0000
Pm  0.3333  0.6667  0.6571
Al  0.3333  0.6667  0.1578
Cu  0.0000  0.0000  0.5000
O  0.0000  0.5000  0.0000
O  0.1705  0.3411  0.3290

**DFT total energy**: -7.415 eV per atom
**Raw formation energy**: -2.718 eV per atom

***

InCuW2 | PBE | relaxed

Unit cell a=3.973 b=3.984 c=8.210 alpha=90.00 beta=90.00 gamma=90.00
Space group Cmmm (No. 65)
Inequivalent atoms, fractional coordinates:
In  0.000  0.000  0.000
Cu  0.000  0.000  0.500
W  0.000  0.500  0.279

**DFT total energy**: -7.609 eV per atom
**ΔE_f**: 0.58 eV/atom

***

CePu2Hf | PBE | relaxed

Unit cell a=7.407 b=7.407 c=7.407 alpha=90.00 beta=90.00 gamma=90.00
Space group Fm-3m (No. 225)
Inequivalent atoms, fractional coordinates:
Ce  0.000  0.000  0.000
Pu  0.250  0.250  0.250
Hf  0.000  0.000  0.500

**DFT total energy**: -10.897 eV per atom
**ΔE_f**: 0.24 eV/atom

***

PuPaGePt | PBE | relaxed

Unit cell a=3.478 b=3.478 c=13.465 alpha=90.00 beta=90.00 gamma=90.00
Space group P4/nmm (No. 129, origin choice 2)
Inequivalent atoms, fractional coordinates:
Pu  0.250  0.750  0.000
Pa  0.250  0.250  0.306
Ge  0.250  0.250  0.543
Pt  0.250  0.250  0.805

**DFT total energy**: -8.814 eV per atom
**ΔE_f**: -0.19 eV/atom

***

Tl3Si5Au12 | PBE | relaxed

Unit cell a=15.557 b=15.557 c=15.557 alpha=90.00 beta=90.00 gamma=90.00
Space group Ia-3d (No. 230)
Inequivalent atoms, fractional coordinates:
Tl  0.000  0.250  0.125
Si  0.000  0.000  0.000
Si  0.000  0.250  0.375
Au  0.048  0.068  0.634

**DFT total energy**: -3.567 eV per atom
**Raw formation energy**: 0.111 eV per atom

***

PmTmIr | PBE | relaxed

Unit cell a=6.844 b=6.844 c=6.844 alpha=90.00 beta=90.00 gamma=90.00
Space group F-43m (No. 216)
Inequivalent atoms, fractional coordinates:
Pm  0.000  0.000  0.000
Tm  0.000  0.000  0.500
Ir  0.250  0.250  0.750

**DFT total energy**: -6.671 eV per atom
**ΔE_f**: -0.64 eV/atom

***

Ba4CrHg | PBE | relaxed

Unit cell a=10.366 b=10.366 c=10.366 alpha=90.00 beta=90.00 gamma=90.00
Space group F-43m (No. 216)
Inequivalent atoms, fractional coordinates:
Ba  0.125  0.125  0.125
Cr  0.250  0.250  0.750
Hg  0.000  0.000  0.500

**DFT total energy**: -2.250 eV per atom
**ΔE_f**: 0.69 eV/atom

***

BeZn3Se | PBE | relaxed

Unit cell a=4.449 b=4.449 c=4.449 alpha=90.00 beta=90.00 gamma=90.00
Space group Pm-3m (No. 221)
Inequivalent atoms, fractional coordinates:
Be  0.000  0.000  0.000
Zn  0.000  0.000  0.500
Se  0.500  0.500  0.500

**DFT total energy**: -1.868 eV per atom
**Raw formation energy**: 0.338 eV per atom

***

Ca2CeCuS4 | PBE | relaxed

Unit cell a=6.780 b=3.998 c=6.979 alpha=90.00 beta=110.51 gamma=90.00
Space group P2/m (No. 10)
Inequivalent atoms, fractional coordinates:
Ca  0.000  0.000  0.000
Ca  0.500  0.500  0.000
Ce  0.000  0.500  0.500
Cu  0.500  0.000  0.500
S  0.249  0.000  0.754
S  0.266  0.500  0.269

**DFT total energy**: -5.400 eV per atom
**Raw formation energy**: -1.582 eV per atom

***

DyThNiPd | PBE | relaxed

Unit cell a=4.264 b=3.753 c=11.165 alpha=90.00 beta=90.00 gamma=90.00
Space group Amm2 (No. 38)
Inequivalent atoms, fractional coordinates:
Dy  0.000  0.000  0.000
Th  0.500  0.000  0.725
Ni  0.000  0.000  0.263
Pd  0.500  0.000  0.441

**DFT total energy**: -6.398 eV per atom
**ΔE_f**: -0.65 eV/atom

***

Ho2HfScS4 | PBE | relaxed

Unit cell a=6.528 b=3.778 c=6.536 alpha=90.00 beta=109.70 gamma=90.00
Space group P2/m (No. 10)
Inequivalent atoms, fractional coordinates:
Ho  0.000  0.000  0.000
Ho  0.000  0.500  0.500
Hf  0.500  0.000  0.500
Sc  0.500  0.500  0.000
S  0.266  0.000  0.755
S  0.266  0.500  0.256

**DFT total energy**: -6.979 eV per atom
**Raw formation energy**: -1.735 eV per atom

***

Sr2MgPaBi4 | PBE | relaxed

Unit cell a=7.815 b=4.773 c=8.234 alpha=90.00 beta=112.86 gamma=90.00
Space group P2/m (No. 10)
Inequivalent atoms, fractional coordinates:
Sr  0.000  0.000  0.000
Sr  0.500  0.500  0.000
Mg  0.000  0.500  0.500
Pa  0.500  0.000  0.500
Bi  0.231  0.000  0.705
Bi  0.270  0.500  0.274

**DFT total energy**: -4.187 eV per atom
**ΔE_f**: -0.44 eV/atom

***

PaTl3I2Br6 | PBE | relaxed

Unit cell a=17.147 b=9.528 c=6.555 alpha=90.00 beta=90.02 gamma=90.00
Space group C2/m (No. 12)
Inequivalent atoms, fractional coordinates:
Pa  0.000  0.000  0.000
Tl  0.000  0.500  0.500
Tl  0.250  0.250  0.000
I  0.185  0.500  0.671
Br  0.068  0.203  0.233
Br  0.129  0.000  0.760

**DFT total energy**: -3.534 eV per atom
**Raw formation energy**: -1.056 eV per atom

***

NdCd2B2O6 | PBE | relaxed

Unit cell a=5.2346 b=5.2346 c=7.2105 alpha=90.00 beta=90.00 gamma=120.00
Space group P-3 (No. 147)
Inequivalent atoms, fractional coordinates:
Nd  0.0000  0.0000  0.0000
Cd  0.3333  0.6667  0.3413
B  0.3333  0.6667  0.7946
O  0.0778  0.6848  0.7964

**DFT total energy**: -6.612 eV per atom
**Raw formation energy**: -2.094 eV per atom